1.
Below is a relaxed NbCdW crystal, with properties calculated at the PBE level.

Unit cell a=4.5158 b=4.5158 c=4.5158 alpha=60.00 beta=60.00 gamma=60.00
With the nearest neighbours (Å) after each atom.
Sites, in units of the cell vectors:
Cd  0.2500  0.2500  0.2500  4 W 2.77
Nb  0.7500  0.7500  0.7500  4 W 2.77
W  0.0000  0.0000  0.0000  4 Nb 2.77, 4 Cd 2.77

Calculated values
Crystal system   cubic
Formation energy from the elements   1.208 eV/atom
V   65.1 Å³ per cell
Magnetization   0.58 μB/f.u.
Calculated density   9.92 g/cm³
Distance to the lowest polymorph of the same formula   0.0000 eV per atom

2.
Below is a relaxed NbCdW2 crystal, with properties calculated at the PBE level.

Unit cell a=4.6194 b=4.6194 c=4.6194 alpha=60.00 beta=60.00 gamma=60.00
With the nearest neighbours (Å) after each atom.
Sites, in units of the cell vectors:
Cd  0.5000  0.5000  0.5000  4 W 2.83, 4 Nb 2.83
Nb  0.7500  0.7500  0.7500  4 Cd 2.83, 4 W 2.83
W  0.0000  0.0000  0.0000  4 W 2.83, 4 Nb 2.83
W  0.2500  0.2500  0.2500  4 W 2.83, 4 Cd 2.83

Calculated values
Crystal system   cubic
Formation energy from the elements   0.505 eV/atom
V   69.7 Å³ per cell
Magnetization   0.00 μB/f.u.
Calculated density   13.65 g/cm³

Look up the V of the second one. 69.7 Å³ per cell